A relaxed SiPd3Br crystal. Source: Alexandria via LeMat-Bulk, functional PBE.

Output
VASP energy ... -3.738 eV/atom
Total magnetization ... 0.0 μB/f.u.
Formation energy without anion corrections ... 0.797 eV/atom
Energy relative to the lowest polymorph listed for this composition ... 735.0 meV per atom

Lattice parameters (Å, degrees): 4.770 4.770 4.770 90.00 90.00 90.00
Fractional coordinates of all 5 atoms:
Pd  0.500  0.000  0.000
Si  0.500  0.500  0.500
Pd  0.000  0.000  0.500
Br  0.000  0.000  0.000
Pd  0.000  0.500  0.000

A relaxed Si2Pd2Br crystal. Source: Alexandria via LeMat-Bulk, functional PBE.

Output
VASP energy ... -4.531 eV/atom
Total magnetization ... 0.0 μB/f.u.
Formation energy without anion corrections ... 0.050 eV/atom
Energy relative to the lowest polymorph listed for this composition ... 185.5 meV per atom

Lattice parameters (Å, degrees): 7.640 7.640 2.932 90.00 90.00 90.00
Fractional coordinates of all 10 atoms:
Br  0.500  0.500  0.000
Br  0.000  0.000  0.000
Pd  0.871  0.371  0.500
Si  0.845  0.655  0.000
Si  0.655  0.155  0.000
Si  0.345  0.845  0.000
Pd  0.629  0.871  0.500
Pd  0.129  0.629  0.500
Pd  0.371  0.129  0.500
Si  0.155  0.345  0.000

A relaxed Si2Pd2Br crystal. Source: Alexandria via LeMat-Bulk, functional PBE.

Output
VASP energy ... -4.716 eV/atom
Total magnetization ... 0.0 μB/f.u.
Formation energy without anion corrections ... -0.136 eV/atom
Energy relative to the lowest polymorph listed for this composition ... 0.0 meV per atom

Lattice parameters (Å, degrees): 4.156 4.156 6.008 69.76 69.76 90.00
Fractional coordinates of all 5 atoms:
Pd  0.750  0.250  0.500
Si  0.620  0.620  0.760
Pd  0.250  0.750  0.500
Br  0.000  0.000  0.000
Si  0.380  0.380  0.240

Q: Which of these has the lowest VASP energy?
A: number 3